## LaHg2Pt (meta-GGA SCAN)

Data for LaHg2Pt at its PBEsol-relaxed geometry.

## Properties
Fermi-level density of states: 1.9 states/eV/cell
calculated total energy: -63.0069 eV per atom
crystal system: tetragonal
calculated formation energy: -2.4 eV per formula unit

Unit cell a=4.195 b=4.195 c=5.217 alpha=90.00 beta=90.00 gamma=90.00
Space group P4/mmm (No. 123)
Inequivalent atoms, fractional coordinates:
La: 0.000 0.000 0.000
Hg: 0.000 0.500 0.500
Pt: 0.500 0.500 0.000



## ScTlCu2 (meta-GGA SCAN)

Data for ScTlCu2 at its PBEsol-relaxed geometry.

## Properties
Fermi-level density of states: 1.7 states/eV/cell
calculated total energy: -29.3380 eV per atom
crystal system: tetragonal
calculated formation energy: -0.4 eV per formula unit

Unit cell a=3.345 b=3.345 c=6.108 alpha=90.00 beta=90.00 gamma=90.00
Space group P4/mmm (No. 123)
Inequivalent atoms, fractional coordinates:
Sc: 0.000 0.000 0.000
Tl: 0.000 0.000 0.500
Cu: 0.500 0.500 0.221



## NaBO2 (meta-GGA SCAN)

Data for NaBO2 at its PBEsol-relaxed geometry.

## Properties
calculated total energy: -7.1804 eV per atom
crystal system: trigonal
uncorrected formation energy: -4.61 eV/f.u.

Unit cell a=2.5690 b=2.5690 c=17.6605 alpha=90.00 beta=90.00 gamma=120.00
Space group R-3m (No. 166, hexagonal axes)
Inequivalent atoms, fractional coordinates:
Na: 0.0000 0.0000 0.0000
B: 0.0000 0.0000 0.5000
O: 0.0000 0.0000 0.1173



## Mg2MoPt (meta-GGA SCAN)

Data for Mg2MoPt at its PBEsol-relaxed geometry.

## Properties
Fermi-level density of states: 2.6 states/eV/cell
calculated total energy: -28.8905 eV per atom
crystal system: monoclinic
calculated formation energy: -0.5 eV per formula unit
energy above the lowest structure with this stoichiometry: 11.3 meV/atom

Unit cell a=2.759 b=4.497 c=5.242 alpha=90.00 beta=98.76 gamma=90.00
Space group P2/m (No. 10)
Inequivalent atoms, fractional coordinates:
Mg: 0.209 0.000 0.252
Mo: 0.500 0.500 0.000
Pt: 0.000 0.500 0.500



## K2RbNa (meta-GGA SCAN)

Data for K2RbNa at its PBEsol-relaxed geometry.

## Properties
Fermi-level density of states: 10.5 states/eV/cell
calculated total energy: -10.3802 eV per atom
crystal system: cubic
calculated formation energy: 0.1 eV per formula unit
energy above the lowest structure with this stoichiometry: 0.0 meV/atom

Unit cell a=10.024 b=10.024 c=10.024 alpha=90.00 beta=90.00 gamma=90.00
Space group Fm-3m (No. 225)
Inequivalent atoms, fractional coordinates:
K: 0.250 0.250 0.250
Rb: 0.000 0.000 0.000
Na: 0.000 0.000 0.500



## Sr2ReHg (meta-GGA SCAN)

Data for Sr2ReHg at its PBEsol-relaxed geometry.

## Properties
Fermi-level density of states: 3.4 states/eV/cell
calculated total energy: -45.3722 eV per atom
crystal system: orthorhombic
calculated formation energy: 2.3 eV per formula unit

Unit cell a=3.125 b=3.775 c=8.594 alpha=90.00 beta=90.00 gamma=90.00
Space group Pmmm (No. 47)
Inequivalent atoms, fractional coordinates:
Sr: 0.000 0.000 0.229
Re: 0.500 0.500 0.000
Hg: 0.500 0.500 0.500



## FeTcRu3 (meta-GGA SCAN)

Data for FeTcRu3 at its PBEsol-relaxed geometry.

## Properties
Fermi-level density of states: 4.6 states/eV/cell
calculated total energy: -29.7684 eV per atom
crystal system: cubic
calculated formation energy: 8.8 eV per formula unit

Unit cell a=4.507 b=4.507 c=4.507 alpha=90.00 beta=90.00 gamma=90.00
Space group Pm-3m (No. 221)
Inequivalent atoms, fractional coordinates:
Fe: 0.000 0.000 0.000
Tc: 0.500 0.500 0.500
Ru: 0.000 0.500 0.500



## SiSbTe2Pd (meta-GGA SCAN)

Data for SiSbTe2Pd at its PBEsol-relaxed geometry.

## Properties
Fermi-level density of states: 3.8 states/eV/cell
calculated total energy: -30.2351 eV per atom
crystal system: tetragonal
uncorrected formation energy: 3.38 eV/f.u.

Unit cell a=5.278 b=5.278 c=4.965 alpha=90.00 beta=90.00 gamma=90.00
Space group P4/mmm (No. 123)
Inequivalent atoms, fractional coordinates:
Si: 0.000 0.000 0.000
Sb: 0.500 0.500 0.000
Te: 0.000 0.500 0.500
Pd: 0.500 0.500 0.500



## NdS3 (meta-GGA SCAN)

Data for NdS3 at its PBEsol-relaxed geometry.

## Properties
Fermi-level density of states: 4.4 states/eV/cell
calculated total energy: -19.0783 eV per atom
crystal system: hexagonal
uncorrected formation energy: -3.85 eV/f.u.

Unit cell a=5.6781 b=5.6781 c=5.4959 alpha=90.00 beta=90.00 gamma=120.00
Space group P6_3/mmc (No. 194)
Inequivalent atoms, fractional coordinates:
Nd: 0.3333 0.6667 0.2500
S: 0.1757 0.3513 0.7500



## MgCoRu2 (meta-GGA SCAN)

Data for MgCoRu2 at its PBEsol-relaxed geometry.

## Properties
Fermi-level density of states: 3.6 states/eV/cell
calculated total energy: -22.7944 eV per atom
crystal system: monoclinic
calculated formation energy: 0.8 eV per formula unit

Unit cell a=2.665 b=4.237 c=4.869 alpha=90.00 beta=100.51 gamma=90.00
Space group P2/m (No. 10)
Inequivalent atoms, fractional coordinates:
Mg: 0.000 0.000 0.000
Co: 0.500 0.000 0.500
Ru: 0.315 0.500 0.734



## PSeCl (meta-GGA SCAN)

Data for PSeCl at its PBEsol-relaxed geometry.

## Properties
Fermi-level density of states: 5.2 states/eV/cell
calculated total energy: -12.3529 eV per atom
crystal system: cubic
uncorrected formation energy: 1.40 eV/f.u.

Unit cell a=6.290 b=6.290 c=6.290 alpha=90.00 beta=90.00 gamma=90.00
Space group F-43m (No. 216)
Inequivalent atoms, fractional coordinates:
P: 0.000 0.000 0.000
Se: 0.250 0.250 0.250
Cl: 0.250 0.250 0.750



## Er3GaO6 (meta-GGA SCAN)

Data for Er3GaO6 at its PBEsol-relaxed geometry.

## Properties
Fermi-level density of states: 0.0 states/eV/cell
calculated total energy: -23.9981 eV per atom
crystal system: orthorhombic
uncorrected formation energy: -35.23 eV/f.u.

Unit cell a=8.701 b=10.899 c=5.323 alpha=90.00 beta=90.00 gamma=90.00
Space group Cmc2_1 (No. 36)
Inequivalent atoms, fractional coordinates:
Er: 0.000 0.102 0.000
Er: 0.193 0.395 0.950
Ga: 0.000 0.307 0.421
O: 0.000 0.283 0.762
O: 0.000 0.463 0.272
O: 0.160 0.017 0.725
O: 0.160 0.236 0.238



## AgPt2Au (meta-GGA SCAN)

Data for AgPt2Au at its PBEsol-relaxed geometry.

## Properties
Fermi-level density of states: 6.4 states/eV/cell
calculated total energy: -60.1761 eV per atom
crystal system: monoclinic
calculated formation energy: 0.2 eV per formula unit
energy above the lowest structure with this stoichiometry: 51.5 meV/atom

Unit cell a=9.266 b=2.782 c=4.962 alpha=90.00 beta=99.54 gamma=90.00
Space group Cm (No. 8)
Inequivalent atoms, fractional coordinates:
Ag: 0.000 0.000 0.000
Pt: 0.004 0.500 0.509
Pt: 0.248 0.000 0.732
Au: 0.254 0.500 0.240



## LaSbOs (meta-GGA SCAN)

Data for LaSbOs at its PBEsol-relaxed geometry.

## Properties
Fermi-level density of states: 15.3 states/eV/cell
calculated total energy: -50.9988 eV per atom
crystal system: cubic
uncorrected formation energy: -0.75 eV/f.u.

Unit cell a=6.655 b=6.655 c=6.655 alpha=90.00 beta=90.00 gamma=90.00
Space group F-43m (No. 216)
Inequivalent atoms, fractional coordinates:
La: 0.000 0.000 0.000
Sb: 0.000 0.000 0.500
Os: 0.250 0.250 0.250



## KZrSe (meta-GGA SCAN)

Data for KZrSe at its PBEsol-relaxed geometry.

## Properties
Fermi-level density of states: 17.6 states/eV/cell
calculated total energy: -19.0425 eV per atom
crystal system: cubic
uncorrected formation energy: 1.98 eV/f.u.

Unit cell a=7.021 b=7.021 c=7.021 alpha=90.00 beta=90.00 gamma=90.00
Space group F-43m (No. 216)
Inequivalent atoms, fractional coordinates:
K: 0.000 0.000 0.000
Zr: 0.250 0.250 0.250
Se: 0.250 0.250 0.750



## Li2CaAu2 (meta-GGA SCAN)

Data for Li2CaAu2 at its PBEsol-relaxed geometry.

## Properties
Fermi-level density of states: 4.4 states/eV/cell
calculated total energy: -31.2091 eV per atom
crystal system: tetragonal
calculated formation energy: -3.3 eV per formula unit
energy above the lowest structure with this stoichiometry: 65.2 meV/atom

Unit cell a=7.476 b=7.476 c=3.118 alpha=90.00 beta=90.00 gamma=90.00
Space group P4/mbm (No. 127)
Inequivalent atoms, fractional coordinates:
Li: 0.117 0.383 0.000
Ca: 0.000 0.000 0.000
Au: 0.176 0.676 0.500



## LaGa2MoPb (meta-GGA SCAN)

Data for LaGa2MoPb at its PBEsol-relaxed geometry.

## Properties
Fermi-level density of states: 3.9 states/eV/cell
calculated total energy: -35.9753 eV per atom
crystal system: tetragonal
calculated formation energy: 6.6 eV per formula unit

Unit cell a=5.534 b=5.534 c=4.803 alpha=90.00 beta=90.00 gamma=90.00
Space group P4/mmm (No. 123)
Inequivalent atoms, fractional coordinates:
La: 0.000 0.000 0.000
Ga: 0.000 0.500 0.000
Mo: 0.000 0.000 0.500
Pb: 0.500 0.500 0.500



## Cd2AgHg (meta-GGA SCAN)

Data for Cd2AgHg at its PBEsol-relaxed geometry.

## Properties
Fermi-level density of states: 2.2 states/eV/cell
calculated total energy: -40.0826 eV per atom
crystal system: monoclinic
calculated formation energy: 0.0 eV per formula unit

Unit cell a=9.770 b=3.244 c=5.050 alpha=90.00 beta=100.77 gamma=90.00
Space group Cm (No. 8)
Inequivalent atoms, fractional coordinates:
Cd: 0.000 0.000 0.000
Cd: 0.247 0.000 0.740
Ag: 0.004 0.500 0.507
Hg: 0.255 0.500 0.254



## ScBe (meta-GGA SCAN)

Data for ScBe at its PBEsol-relaxed geometry.

## Properties
Fermi-level density of states: 2.8 states/eV/cell
calculated total energy: -9.3532 eV per atom
crystal system: orthorhombic
calculated formation energy: -0.1 eV per formula unit

Unit cell a=4.448 b=3.149 c=4.451 alpha=90.00 beta=90.00 gamma=90.00
Space group Pmma (No. 51)
Inequivalent atoms, fractional coordinates:
Sc: 0.250 0.000 0.246
Be: 0.250 0.500 0.741



## Y5Si4 (meta-GGA SCAN)

Data for Y5Si4 at its PBEsol-relaxed geometry.

## Properties
Fermi-level density of states: 28.0 states/eV/cell
calculated total energy: -20.7518 eV per atom
crystal system: orthorhombic
uncorrected formation energy: -7.49 eV/f.u.

Unit cell a=7.360 b=14.445 c=7.616 alpha=90.00 beta=90.00 gamma=90.00
Space group Pnma (No. 62)
Inequivalent atoms, fractional coordinates:
Y: 0.029 0.098 0.183
Y: 0.148 0.750 0.511
Y: 0.182 0.123 0.679
Si: 0.021 0.750 0.103
Si: 0.146 0.540 0.472
Si: 0.235 0.250 0.373



## Ta2TcHg (meta-GGA SCAN)

Data for Ta2TcHg at its PBEsol-relaxed geometry.

## Properties
Fermi-level density of states: 3.2 states/eV/cell
calculated total energy: -58.9847 eV per atom
crystal system: monoclinic
calculated formation energy: 0.5 eV per formula unit

Unit cell a=2.890 b=4.555 c=5.349 alpha=90.00 beta=99.52 gamma=90.00
Space group Pm (No. 6)
Inequivalent atoms, fractional coordinates:
Ta: 0.000 0.000 0.000
Ta: 0.276 0.500 0.721
Tc: 0.692 0.500 0.170
Hg: 0.670 0.000 0.481



## NiPIr (meta-GGA SCAN)

Data for NiPIr at its PBEsol-relaxed geometry.

## Properties
Fermi-level density of states: 6.7 states/eV/cell
calculated total energy: -32.7326 eV per atom
crystal system: cubic
calculated formation energy: -0.5 eV per formula unit

Unit cell a=5.545 b=5.545 c=5.545 alpha=90.00 beta=90.00 gamma=90.00
Space group F-43m (No. 216)
Inequivalent atoms, fractional coordinates:
Ni: 0.000 0.000 0.000
P: 0.000 0.000 0.500
Ir: 0.250 0.250 0.250



## LiCoAsO4 (meta-GGA SCAN)

Data for LiCoAsO4 at its PBEsol-relaxed geometry.

## Properties
calculated total energy: -10.8610 eV per atom
crystal system: orthorhombic
uncorrected formation energy: -11.22 eV/f.u.
energy above the lowest structure with this stoichiometry: 0.0 meV/atom

Unit cell a=5.720 b=5.782 c=8.193 alpha=90.00 beta=90.00 gamma=90.00
Space group Imma (No. 74)
Inequivalent atoms, fractional coordinates:
Li: 0.000 0.000 0.000
Co: 0.250 0.250 0.250
As: 0.000 0.250 0.617
O: 0.000 0.007 0.745
O: 0.247 0.250 0.497